Below is crystalline CePmP2 at its relaxed geometry, with properties calculated at the GGA-PBE level.

Lattice parameters (Å, degrees): 4.983 4.983 3.532 90.00 90.00 90.00
Fractional coordinates of all 4 atoms:
Ce 0.000 0.000 0.000
Pm 0.500 0.500 0.000
P 0.000 0.500 0.500
P 0.500 0.000 0.500

## Properties
Total energy, eV for the cell shown: -25.97
Formation energy, eV per atom: -1.116

Below is crystalline CePmP2 at its relaxed geometry, with properties calculated at the GGA-PBE level.

Lattice parameters (Å, degrees): 7.471 7.471 7.471 31.35 31.35 31.35
Fractional coordinates of all 4 atoms:
Ce 0.000 0.000 0.000
Pm 0.172 0.172 0.172
P 0.585 0.585 0.585
P 0.752 0.752 0.752

## Properties
Total energy, eV for the cell shown: -26.93
Formation energy, eV per atom: -1.356

Below is crystalline CePm3P4 at its relaxed geometry, with properties calculated at the GGA-PBE level.

Lattice parameters (Å, degrees): 7.131 7.131 4.119 90.00 90.00 109.39
Fractional coordinates of all 8 atoms:
Ce 0.000 0.000 0.000
Pm 0.000 0.500 0.500
Pm 0.500 0.000 0.500
Pm 0.500 0.500 0.000
P 0.246 0.246 0.500
P 0.247 0.753 0.000
P 0.753 0.247 0.000
P 0.754 0.754 0.500

## Properties
Total energy, eV for the cell shown: -54.27
Formation energy, eV per atom: -1.556

Below is crystalline Ce3Pm5P8 at its relaxed geometry, with properties calculated at the GGA-PBE level.

Lattice parameters (Å, degrees): 8.226 8.226 8.226 60.00 60.00 60.00
Fractional coordinates of all 16 atoms:
Ce 0.000 0.500 0.500
Ce 0.500 0.000 0.500
Ce 0.500 0.500 0.000
Pm 0.000 0.000 0.000
Pm 0.000 0.000 0.500
Pm 0.000 0.500 0.000
Pm 0.500 0.000 0.000
Pm 0.500 0.500 0.500
P 0.250 0.250 0.746
P 0.250 0.746 0.250
P 0.252 0.252 0.252
P 0.254 0.750 0.750
P 0.746 0.250 0.250
P 0.748 0.748 0.748
P 0.750 0.254 0.750
P 0.750 0.750 0.254

## Properties
Total energy, eV for the cell shown: -109.61
Formation energy, eV per atom: -1.549

Below is crystalline CePm2P at its relaxed geometry, with properties calculated at the GGA-PBE level.

Lattice parameters (Å, degrees): 9.700 9.700 9.700 23.07 23.07 23.07
Fractional coordinates of all 4 atoms:
Ce 0.000 0.000 0.000
Pm 0.227 0.227 0.227
Pm 0.773 0.773 0.773
P 0.500 0.500 0.500

## Properties
Total energy, eV for the cell shown: -23.16
Formation energy, eV per atom: -0.579

Below is crystalline Ce4PmP6 at its relaxed geometry, with properties calculated at the GGA-PBE level.

Lattice parameters (Å, degrees): 8.005 8.005 8.005 88.71 88.71 88.71
Fractional coordinates of all 22 atoms:
Ce 0.132 0.750 0.368
Ce 0.250 0.250 0.250
Ce 0.250 0.632 0.868
Ce 0.368 0.131 0.750
Ce 0.632 0.868 0.250
Ce 0.750 0.368 0.132
Ce 0.750 0.750 0.750
Ce 0.868 0.250 0.632
Pm 0.000 0.000 0.000
Pm 0.500 0.500 0.500
P 0.069 0.913 0.673
P 0.087 0.327 0.931
P 0.173 0.413 0.569
P 0.327 0.931 0.087
P 0.413 0.569 0.173
P 0.431 0.827 0.587
P 0.569 0.173 0.413
P 0.587 0.431 0.827
P 0.673 0.069 0.913
P 0.827 0.587 0.431
P 0.913 0.673 0.069
P 0.931 0.087 0.327

## Properties
Total energy, eV for the cell shown: -147.96
Formation energy, eV per atom: -1.185